# Sm2Y6Sc (PBE, relaxed)
# Mass density: 5.03 Mg/m³
# Total magnetization: 0.7 Bohr magnetons per cell
# Total energy: -53.99 eV for the cell shown
data_Sm2Y6Sc
_symmetry_space_group_name_H-M 'P -6 m 2'
_symmetry_Int_Tables_number 187
_symmetry_space_group_name_Hall 'P -6 2'
_cell_length_a 3.5857
_cell_length_b 3.5857
_cell_length_c 26.0384
_cell_angle_alpha 90.00
_cell_angle_beta 90.00
_cell_angle_gamma 120.00
loop_
_atom_site_label
_atom_site_type_symbol
_atom_site_fract_x
_atom_site_fract_y
_atom_site_fract_z
Sm1 Sm 0.0000 0.0000 0.1743
Y1 Y 0.0000 0.0000 0.3980
Y2 Y 0.6667 0.3333 0.0649
Y3 Y 0.6667 0.3333 0.2879
Sc1 Sc 0.6667 0.3333 0.5000